Density functional theory data (PBE) for a relaxed structure of Ca3Zn2InAu9.

a b c (Å): 8.020 8.020 6.647
angles (deg): 90.00 90.00 120.00
Atoms (fractional coordinates):
Ca: 0.333 0.667 0.656
Ca: 0.000 0.000 0.000
Ca: 0.667 0.333 0.344
Zn: 0.333 0.667 0.145
Zn: 0.667 0.333 0.855
In: 0.000 0.000 0.500
Au: 0.829 0.171 0.689
Au: 0.829 0.658 0.689
Au: 0.342 0.171 0.689
Au: 0.658 0.829 0.311
Au: 0.171 0.342 0.311
Au: 0.171 0.829 0.311
Au: 0.500 0.000 0.000
Au: 0.000 0.500 0.000
Au: 0.500 0.500 0.000

Computed properties:
raw total energy: -2.9733 eV per atom
DFT formation energy: -5.86 kcal/mol of atoms
crystal system: trigonal

---

Density functional theory data (PBE) for a relaxed structure of CaPdS2.

a b c (Å): 7.836 7.836 7.836
angles (deg): 30.44 30.44 30.44
Last column: magnetic moment on the atom in μB.
Atoms (fractional coordinates):
Ca: 0.500 0.500 0.500  0.04
S: 0.900 0.900 0.900  0.26
S: 0.100 0.100 0.100  0.26
Pd: 0.000 0.000 0.000  0.83

Computed properties:
raw total energy: -4.4746 eV per atom
crystal system: trigonal